First-principles (GGA-PBE) data for a geometry-optimized TaSe2N2 structure, as listed in Alexandria via LeMat-Bulk.

* uncorrected formation energy: 1.066 eV per atom
* total energy: -6.028 eV per atom
* N(E_F): 3.95 states/eV/cell

Cell: 5.122 5.122 3.971 Å, 90.00 90.00 90.00°
Each line ends with the local moment (μB).
Fractional coordinates of all 5 atoms:
N (0.000, 0.000, 0.500)  -0.48
N (0.500, 0.500, 0.500)  1.73
Se (0.500, 0.000, 0.000)  -0.29
Ta (0.000, 0.000, 0.000)  0.20
Se (0.000, 0.500, 0.000)  -0.29